(1)
DFT (PBE) results for an optimized crystal structure of Zr2PaTl3Te6.

The structure in extended XYZ format:
```
12
Lattice="3.562 -6.202 0.000 3.562 6.202 0.000 -2.410 0.000 8.659" Properties=species:S:1:pos:R:3 pbc="T T T"
Zr 3.562 4.093 0.000
Zr 3.562 -4.093 0.000
Pa 3.562 0.000 0.000
Tl -1.205 0.000 4.330
Tl 2.357 1.994 4.330
Tl 2.357 -1.994 4.330
Te -0.069 2.121 6.812
Te 1.102 0.000 1.796
Te -0.069 -2.121 6.812
Te 4.782 2.121 1.848
Te 3.611 0.000 6.863
Te 4.782 -2.121 1.848
```

Its volume is 383 Å³ per cell.

---

(2)
DFT (PBE) results for an optimized crystal structure of Zr3PaTl3Te8.

The structure in extended XYZ format:
```
15
Lattice="7.086 -4.093 0.000 7.086 4.093 0.000 -4.718 0.000 8.552" Properties=species:S:1:pos:R:3 pbc="T T T"
Zr 0.000 0.000 0.000
Zr 3.543 2.047 0.000
Zr 3.543 -2.047 0.000
Pa 7.086 0.000 0.000
Tl 1.184 2.047 4.276
Tl 1.184 -2.047 4.276
Tl 4.727 0.000 4.276
Te 5.862 2.122 1.842
Te 2.363 0.000 1.772
Te -0.083 0.000 6.710
Te 3.591 2.122 6.711
Te 5.862 -2.122 1.842
Te 9.537 0.000 1.842
Te 7.090 0.000 6.780
Te 3.591 -2.122 6.711
```

Its volume is 496 Å³ per cell.

---

In states/eV/cell, the DOS(E_F) values for the records above are, in order, 7.717; 9.361.
In eV/cell, the final energy values for the records above are, in order, -60.2; -77.9.
In eV per atom, the formation energy from raw total energies values for the records above are, in order, -0.636; -0.700.